# 1
First-principles (PBE-GGA) data for LiPaO3F after structural relaxation, as listed in Alexandria.

The value obtained for the raw formation energy is -17.36 eV/f.u. Its symmetry is C2/m. As for the density of states at the Fermi level: 0.00 states/eV per cell.

Unit cell a=6.677 b=6.677 c=6.657 alpha=112.82 beta=112.82 gamma=30.93
Atoms (fractional coordinates):
Li 0.002 0.002 0.274
Li 0.998 0.998 0.726
Pa 0.273 0.273 0.267
Pa 0.727 0.727 0.733
O 0.173 0.173 0.495
O 0.175 0.175 0.894
O 0.470 0.470 0.380
O 0.530 0.530 0.620
O 0.825 0.825 0.106
O 0.827 0.827 0.505
F 0.372 0.372 0.843
F 0.628 0.628 0.157



# 2
First-principles (PBE-GGA) data for Li2Pb3O4F2 after structural relaxation, as listed in Alexandria.

The value obtained for the raw formation energy is -16.39 eV/f.u. Its symmetry is I4/mmm. As for the density of states at the Fermi level: 0.64 states/eV per cell.

Unit cell a=10.131 b=10.131 c=10.131 alpha=157.92 beta=157.92 gamma=31.43
Atoms (fractional coordinates):
Li 0.088 0.088 0.000
Li 0.912 0.912 0.000
Pb 0.338 0.338 0.000
Pb 0.500 0.500 0.000
Pb 0.662 0.662 0.000
O 0.073 0.573 0.500
O 0.427 0.927 0.500
O 0.573 0.073 0.500
O 0.927 0.427 0.500
F 0.195 0.195 0.000
F 0.805 0.805 0.000



# 3
First-principles (PBE-GGA) data for LiPdOF2 after structural relaxation, as listed in Alexandria.

The value obtained for the raw formation energy is -4.21 eV/f.u. Its symmetry is P4/mmm. As for the density of states at the Fermi level: 6.17 states/eV per cell. Its energy relative to the lowest polymorph listed for this composition is 359 meV per atom.

Unit cell a=3.493 b=3.493 c=4.165 alpha=90.00 beta=90.00 gamma=90.00
Atoms (fractional coordinates):
Li 0.000 0.000 0.000
Pd 0.500 0.500 0.500
O 0.000 0.000 0.500
F 0.000 0.500 0.000
F 0.500 0.000 0.000



# 4
First-principles (PBE-GGA) data for LiPdO2F after structural relaxation, as listed in Alexandria.

The value obtained for the raw formation energy is 0.15 eV/f.u. Its symmetry is P4/mmm. As for the density of states at the Fermi level: 3.52 states/eV per cell.

Unit cell a=4.078 b=4.078 c=3.220 alpha=90.00 beta=90.00 gamma=90.00
Atoms (fractional coordinates):
Li 0.000 0.000 0.000
Pd 0.500 0.500 0.000
O 0.000 0.500 0.500
O 0.500 0.000 0.500
F 0.000 0.000 0.500



# 5
First-principles (PBE-GGA) data for LiPdOF2 after structural relaxation, as listed in Alexandria.

The value obtained for the raw formation energy is -6.01 eV/f.u. Its symmetry is P4/mmm. As for the density of states at the Fermi level: 3.54 states/eV per cell. Its energy relative to the lowest polymorph listed for this composition is 0 meV per atom.

Unit cell a=4.308 b=4.308 c=3.831 alpha=90.00 beta=90.00 gamma=90.00
Atoms (fractional coordinates):
Li 0.000 0.000 0.000
Pd 0.500 0.500 0.500
O 0.500 0.500 0.000
F 0.000 0.500 0.500
F 0.500 0.000 0.500



# 6
First-principles (PBE-GGA) data for LiPdO2F after structural relaxation, as listed in Alexandria.

The value obtained for the raw formation energy is -3.81 eV/f.u. Its symmetry is P4/mmm. As for the density of states at the Fermi level: 2.28 states/eV per cell.

Unit cell a=3.893 b=3.893 c=4.466 alpha=90.00 beta=90.00 gamma=90.00
Atoms (fractional coordinates):
Li 0.000 0.000 0.000
Pd 0.500 0.500 0.500
O 0.000 0.500 0.500
O 0.500 0.000 0.500
F 0.500 0.500 0.000



# 7
First-principles (PBE-GGA) data for LiPdO2F after structural relaxation, as listed in Alexandria.

The value obtained for the raw formation energy is -1.14 eV/f.u. Its symmetry is P4/mmm. As for the density of states at the Fermi level: 8.46 states/eV per cell.

Unit cell a=3.750 b=3.750 c=3.406 alpha=90.00 beta=90.00 gamma=90.00
Atoms (fractional coordinates):
Li 0.000 0.000 0.000
Pd 0.500 0.500 0.500
O 0.000 0.500 0.000
O 0.500 0.000 0.000
F 0.000 0.000 0.500



# 8
First-principles (PBE-GGA) data for LiPtOF2 after structural relaxation, as listed in Alexandria.

The value obtained for the raw formation energy is -3.30 eV/f.u. Its symmetry is P4/mmm. As for the density of states at the Fermi level: 5.45 states/eV per cell. Its energy relative to the lowest polymorph listed for this composition is 431 meV per atom.

Unit cell a=3.449 b=3.449 c=4.211 alpha=90.00 beta=90.00 gamma=90.00
Atoms (fractional coordinates):
Li 0.000 0.000 0.000
Pt 0.500 0.500 0.500
O 0.000 0.000 0.500
F 0.000 0.500 0.000
F 0.500 0.000 0.000



Repeat the second record exactly.
First-principles (PBE-GGA) data for Li2Pb3O4F2 after structural relaxation, as listed in Alexandria.

The value obtained for the raw formation energy is -16.39 eV/f.u. Its symmetry is I4/mmm. As for the density of states at the Fermi level: 0.64 states/eV per cell.

Unit cell a=10.131 b=10.131 c=10.131 alpha=157.92 beta=157.92 gamma=31.43
Atoms (fractional coordinates):
Li 0.088 0.088 0.000
Li 0.912 0.912 0.000
Pb 0.338 0.338 0.000
Pb 0.500 0.500 0.000
Pb 0.662 0.662 0.000
O 0.073 0.573 0.500
O 0.427 0.927 0.500
O 0.573 0.073 0.500
O 0.927 0.427 0.500
F 0.195 0.195 0.000
F 0.805 0.805 0.000



- Which of these has the highest raw formation energy?
  number 4



Repeat the fifth record exactly.
First-principles (PBE-GGA) data for LiPdOF2 after structural relaxation, as listed in Alexandria.

The value obtained for the raw formation energy is -6.01 eV/f.u. Its symmetry is P4/mmm. As for the density of states at the Fermi level: 3.54 states/eV per cell. Its energy relative to the lowest polymorph listed for this composition is 0 meV per atom.

Unit cell a=4.308 b=4.308 c=3.831 alpha=90.00 beta=90.00 gamma=90.00
Atoms (fractional coordinates):
Li 0.000 0.000 0.000
Pd 0.500 0.500 0.500
O 0.500 0.500 0.000
F 0.000 0.500 0.500
F 0.500 0.000 0.500